[1]
# Na2AsRh (PBE, optimized geometry)
data_Na2AsRh
_cell_length_a 3.8059
_cell_length_b 3.8059
_cell_length_c 10.6944
_cell_angle_alpha 79.75
_cell_angle_beta 79.75
_cell_angle_gamma 90.00
_symmetry_space_group_name_H-M 'P 1'
_symmetry_Int_Tables_number 1
loop_
_symmetry_equiv_pos_as_xyz
'x,y,z'
loop_
_atom_site_label
_atom_site_fract_x
_atom_site_fract_y
_atom_site_fract_z
Na1 0.6259 0.1250 0.2500
Na2 0.1241 0.6250 0.2500
Na3 0.3750 0.3741 0.7500
Na4 0.8750 0.8759 0.7500
As1 0.5000 0.5000 0.0000
As2 0.2500 0.7500 0.5000
Rh1 0.0000 0.0000 0.0000
Rh2 0.7500 0.2500 0.5000
# D(E_F)   0.53 states/eV/atom
# Space group   No. 122
# Calculated total energy   -3.56 eV per atom



[2]
# Na3AsRh (PBE, optimized geometry)
data_Na3AsRh
_cell_length_a 5.2149
_cell_length_b 5.2149
_cell_length_c 5.2149
_cell_angle_alpha 90.00
_cell_angle_beta 90.00
_cell_angle_gamma 90.00
_symmetry_space_group_name_H-M 'P 1'
_symmetry_Int_Tables_number 1
loop_
_symmetry_equiv_pos_as_xyz
'x,y,z'
loop_
_atom_site_label
_atom_site_fract_x
_atom_site_fract_y
_atom_site_fract_z
Na1 0.0000 0.5000 0.0000
Na2 0.0000 0.0000 0.5000
Na3 0.5000 0.0000 0.0000
As1 0.5000 0.5000 0.5000
Rh1 0.0000 0.0000 0.0000
# D(E_F)   0.68 states/eV/atom
# Space group   No. 221
# Calculated total energy   -2.48 eV per atom
# Energy above the lowest structure with this stoichiometry   87 meV/atom



[3]
# Na2AsRh (PBE, optimized geometry)
data_Na2AsRh
_cell_length_a 4.0556
_cell_length_b 4.0555
_cell_length_c 11.7031
_cell_angle_alpha 90.00
_cell_angle_beta 90.01
_cell_angle_gamma 90.00
_symmetry_space_group_name_H-M 'P 1'
_symmetry_Int_Tables_number 1
loop_
_symmetry_equiv_pos_as_xyz
'x,y,z'
loop_
_atom_site_label
_atom_site_fract_x
_atom_site_fract_y
_atom_site_fract_z
Na1 0.7500 0.2500 0.2832
Na2 0.2500 0.7500 0.7168
Na3 0.7500 0.2500 0.9068
Na4 0.2500 0.7500 0.0932
As1 0.7500 0.2500 0.6232
As2 0.2500 0.7500 0.3768
Rh1 0.2499 0.2500 0.5000
Rh2 0.7501 0.7500 0.5000
# D(E_F)   0.63 states/eV/atom
# Space group   No. 129
# Calculated total energy   -4.04 eV per atom



[4]
# NaAsRh3 (PBE, optimized geometry)
data_NaAsRh3
_cell_length_a 4.6016
_cell_length_b 4.6016
_cell_length_c 4.6016
_cell_angle_alpha 90.00
_cell_angle_beta 90.00
_cell_angle_gamma 90.00
_symmetry_space_group_name_H-M 'P 1'
_symmetry_Int_Tables_number 1
loop_
_symmetry_equiv_pos_as_xyz
'x,y,z'
loop_
_atom_site_label
_atom_site_fract_x
_atom_site_fract_y
_atom_site_fract_z
Na1 0.5000 0.5000 0.5000
As1 0.0000 0.0000 0.0000
Rh1 0.0000 0.5000 0.0000
Rh2 0.0000 0.0000 0.5000
Rh3 0.5000 0.0000 0.0000
# D(E_F)   1.04 states/eV/atom
# Space group   No. 221
# Calculated total energy   -5.38 eV per atom
# Energy above the lowest structure with this stoichiometry   0 meV/atom



no.,energy of formation from the pure elements (eV per formula unit)
1,0.413
2,3.560
3,-1.538
4,1.132